(1)
Entry from Alexandria: a relaxed structure of PmBeGeIr (PBE).

Unit cell a=4.0892 b=4.0892 c=5.7094 alpha=69.02 beta=69.02 gamma=60.00
Atoms (fractional coordinates):
Ir (0.6137, 0.6137, 0.1590)
Be (0.2802, 0.2802, 0.1595)
Pm (0.8176, 0.8176, 0.5471)
Ge (0.0144, 0.0144, 0.9568)

Output
Total magnetization (μB per formula unit): 0.00
Energy relative to the elements (meV per atom): -573.8
E_tot (eV/atom): -6.06

---

(2)
Entry from Alexandria: a relaxed structure of Ac3Pm4Y (PBE).

Unit cell a=5.3520 b=10.6419 c=10.6443 alpha=90.00 beta=90.00 gamma=90.00
Atoms (fractional coordinates):
Ac (0.5644, 0.3672, 0.2458)
Ac (0.5644, 0.6329, 0.0000)
Ac (0.0644, 0.6328, 0.7458)
Ac (0.0644, 0.6328, 0.2542)
Ac (0.0644, 0.3671, 0.5000)
Ac (0.5644, 0.3672, 0.7542)
Pm (0.5644, 0.8833, 0.7459)
Pm (0.0644, 0.8814, 0.5000)
Pm (0.0644, 0.8852, 0.0000)
Pm (0.5644, 0.1148, 0.5000)
Pm (0.0644, 0.1167, 0.2459)
Pm (0.5644, 0.1186, 0.0000)
Pm (0.5644, 0.8833, 0.2541)
Pm (0.0644, 0.1167, 0.7541)
Y (0.0644, 0.3635, 0.0000)
Y (0.5644, 0.6365, 0.5000)

Output
Total magnetization (μB per formula unit): 0.00
Energy relative to the elements (meV per atom): 39.9
E_tot (eV/atom): -4.68

---

(3)
Entry from Alexandria: a relaxed structure of Cs2AlAuBr6 (PBE).

Unit cell a=8.1676 b=8.1676 c=7.8928 alpha=58.84 beta=58.84 gamma=90.00
Atoms (fractional coordinates):
Br (0.7118, 0.7118, 0.0000)
Br (0.2882, 0.7118, 0.0000)
Br (0.7118, 0.2882, 0.0000)
Br (0.7704, 0.7704, 0.4591)
Br (0.2882, 0.2882, 0.0000)
Br (0.2296, 0.2296, 0.5409)
Cs (0.2500, 0.7500, 0.5000)
Cs (0.7500, 0.2500, 0.5000)
Al (0.5000, 0.5000, 0.0000)
Au (0.0000, 0.0000, 0.0000)

Output
Total magnetization (μB per formula unit): 0.00
E_tot (eV/atom): -3.02

---

(4)
Entry from Alexandria: a relaxed structure of BaNaTmTe3 (PBE).

Unit cell a=4.6304 b=9.2169 c=10.3160 alpha=106.65 beta=90.00 gamma=90.00
Atoms (fractional coordinates):
Ba (0.7500, 0.7819, 0.7491)
Ba (0.2500, 0.2181, 0.2509)
Te (0.2500, 0.5468, 0.8481)
Te (0.2500, 0.1058, 0.8782)
Te (0.7500, 0.2654, 0.5316)
Te (0.7500, 0.4532, 0.1519)
Te (0.2500, 0.7346, 0.4684)
Te (0.7500, 0.8942, 0.1218)
Tm (0.7500, 0.3223, 0.8449)
Tm (0.2500, 0.6777, 0.1551)
Na (0.7500, 0.9106, 0.4111)
Na (0.2500, 0.0894, 0.5889)

Output
Total magnetization (μB per formula unit): 0.00
E_tot (eV/atom): -4.20

---

(5)
Entry from Alexandria: a relaxed structure of PrDy2ScAs4 (PBE).

Unit cell a=4.1219 b=7.1200 c=7.1321 alpha=109.46 beta=90.00 gamma=90.00
Atoms (fractional coordinates):
As (0.5000, 0.2369, 0.2445)
As (0.0000, 0.7625, 0.2532)
As (0.5000, 0.7631, 0.7555)
As (0.0000, 0.2375, 0.7468)
Dy (0.5000, 0.0000, 0.5000)
Dy (0.0000, 0.5000, 0.5000)
Sc (0.0000, 0.0000, 0.0000)
Pr (0.5000, 0.5000, 0.0000)

Output
Total magnetization (μB per formula unit): 0.00
Energy relative to the elements (meV per atom): -1444.6
E_tot (eV/atom): -6.31

---

(6)
Entry from Alexandria: a relaxed structure of La2MnHg2 (PBE).

Unit cell a=8.7604 b=8.7604 c=3.9403 alpha=90.00 beta=90.00 gamma=90.00
Each line ends with the local moment (μB).
Atoms (fractional coordinates):
Hg (0.6341, 0.8659, 0.5000)  0.02
Hg (0.1341, 0.6341, 0.5000)  0.01
Hg (0.3659, 0.1341, 0.5000)  0.02
Hg (0.8659, 0.3659, 0.5000)  0.01
Mn (0.0000, 0.0000, 0.0000)  -4.09
Mn (0.5000, 0.5000, 0.0000)  -4.09
La (0.6654, 0.1654, 0.0000)  0.10
La (0.8346, 0.6654, 0.0000)  0.11
La (0.1654, 0.3346, 0.0000)  0.11
La (0.3346, 0.8346, 0.0000)  0.10

Output
Total magnetization (μB per formula unit): 3.86
Excess energy over the best structure of this formula in the dataset (meV per atom): 0.0
Energy relative to the elements (meV per atom): 88.3
E_tot (eV/atom): -3.84

---

(7)
Entry from Alexandria: a relaxed structure of TlSb3H (PBE).

Unit cell a=4.9014 b=4.9014 c=4.9014 alpha=90.00 beta=90.00 gamma=90.00
Atoms (fractional coordinates):
H (0.0000, 0.0000, 0.0000)
Tl (0.5000, 0.5000, 0.5000)
Sb (0.5000, 0.0000, 0.0000)
Sb (0.0000, 0.0000, 0.5000)
Sb (0.0000, 0.5000, 0.0000)

Output
Total magnetization (μB per formula unit): 0.00
Excess energy over the best structure of this formula in the dataset (meV per atom): 0.0
E_tot (eV/atom): -3.23

---

(8)
Entry from Alexandria: a relaxed structure of Ti2CoGeTe (PBE).

Unit cell a=4.7401 b=5.2720 c=4.7401 alpha=90.00 beta=90.00 gamma=90.00
Each line ends with the local moment (μB).
Atoms (fractional coordinates):
Ge (0.0000, 0.0000, 0.0000)  0.00
Co (0.5000, 0.5000, 0.5000)  2.04
Ti (0.5000, 0.0000, 0.0000)  -0.24
Ti (0.0000, 0.0000, 0.5000)  -0.32
Te (0.0000, 0.5000, 0.0000)  0.03

Output
Total magnetization (μB per formula unit): 1.33
E_tot (eV/atom): -5.11